# TbNdIr

TbNdIr after structural relaxation (PBE-GGA, the Alexandria database).

a = 6.9207 Å, b = 6.9207 Å, c = 6.9207 Å
α = 90.00°, β = 90.00°, γ = 90.00°
Closest atoms and distances in Å follow each position.
Element x y z (fractional)
Tb1 0.0000 0.0000 0.0000  4 Ir 3.00
Tb2 0.0000 0.5000 0.5000  4 Ir 3.00
Tb3 0.5000 0.0000 0.5000  4 Ir 3.00
Tb4 0.5000 0.5000 0.0000  4 Ir 3.00
Nd1 0.0000 0.0000 0.5000  4 Ir 3.00
Nd2 0.0000 0.5000 0.0000  4 Ir 3.00
Nd3 0.5000 0.0000 0.0000  4 Ir 3.00
Nd4 0.5000 0.5000 0.5000  4 Ir 3.00
Ir1 0.2500 0.2500 0.2500  4 Nd 3.00, 4 Tb 3.00
Ir2 0.2500 0.7500 0.7500  4 Tb 3.00, 4 Nd 3.00
Ir3 0.7500 0.2500 0.7500  4 Tb 3.00, 4 Nd 3.00
Ir4 0.7500 0.7500 0.2500  4 Tb 3.00, 4 Nd 3.00

Computed properties:
ΔE to the lowest computed polymorph	0.02	eV per formula unit
DFT formation energy	-0.589	eV/atom
DOS at the Fermi energy	12.47	states/eV/cell



# CsBaTa2

CsBaTa2 after structural relaxation (PBE-GGA, the Alexandria database).

a = 7.6516 Å, b = 7.6516 Å, c = 7.6516 Å
α = 90.00°, β = 90.00°, γ = 90.00°
Closest atoms and distances in Å follow each position.
Element x y z (fractional)
Cs1 0.0000 0.0000 0.0000  8 Ta 3.31
Cs2 0.0000 0.5000 0.5000  8 Ta 3.31
Cs3 0.5000 0.0000 0.5000  8 Ta 3.31
Cs4 0.5000 0.5000 0.0000  8 Ta 3.31
Ba1 0.0000 0.0000 0.5000  8 Ta 3.31
Ba2 0.0000 0.5000 0.0000  8 Ta 3.31
Ba3 0.5000 0.0000 0.0000  8 Ta 3.31
Ba4 0.5000 0.5000 0.5000  8 Ta 3.31
Ta1 0.2500 0.2500 0.2500  4 Ba 3.31, 4 Cs 3.31
Ta2 0.2500 0.2500 0.7500  4 Cs 3.31, 4 Ba 3.31
Ta3 0.2500 0.7500 0.2500  4 Cs 3.31, 4 Ba 3.31
Ta4 0.2500 0.7500 0.7500  4 Ba 3.31, 4 Cs 3.31
Ta5 0.7500 0.2500 0.2500  4 Cs 3.31, 4 Ba 3.31
Ta6 0.7500 0.2500 0.7500  4 Ba 3.31, 4 Cs 3.31
Ta7 0.7500 0.7500 0.2500  4 Ba 3.31, 4 Cs 3.31
Ta8 0.7500 0.7500 0.7500  4 Cs 3.31, 4 Ba 3.31

Computed properties:
ΔE to the lowest computed polymorph	0.29	eV per formula unit
DFT formation energy	2.264	eV/atom
DOS at the Fermi energy	18.37	states/eV/cell



# RbPd3Rh4O12

RbPd3Rh4O12 after structural relaxation (PBE-GGA, the Alexandria database).

a = 6.6508 Å, b = 6.6508 Å, c = 6.6508 Å
α = 109.47°, β = 109.47°, γ = 109.47°
Closest atoms and distances in Å follow each position.
Element x y z (fractional)
Rb1 0.0000 0.0000 0.0000  12 O 2.80
Pd1 0.0000 0.5000 0.5000  4 O 2.00
Pd2 0.5000 0.0000 0.5000  4 O 2.00
Pd3 0.5000 0.5000 0.0000  4 O 2.00
Rh1 0.0000 0.0000 0.5000  6 O 2.05
Rh2 0.0000 0.5000 0.0000  6 O 2.05
Rh3 0.5000 0.0000 0.0000  6 O 2.05
Rh4 0.5000 0.5000 0.5000  6 O 2.05
O1 0.1313 0.3152 0.8161  1 Pd 2.00, 2 Rh 2.05
O2 0.1839 0.4991 0.3152  1 Pd 2.00, 2 Rh 2.05
O3 0.1839 0.8687 0.6848  1 Pd 2.00, 2 Rh 2.05
O4 0.3152 0.1839 0.4991  1 Pd 2.00, 2 Rh 2.05
O5 0.3152 0.8161 0.1313  1 Pd 2.00, 2 Rh 2.05
O6 0.4991 0.3152 0.1839  1 Pd 2.00, 2 Rh 2.05
O7 0.5009 0.6848 0.8161  1 Pd 2.00, 2 Rh 2.05
O8 0.6848 0.1839 0.8687  1 Pd 2.00, 2 Rh 2.05
O9 0.6848 0.8161 0.5009  1 Pd 2.00, 2 Rh 2.05
O10 0.8161 0.1313 0.3152  1 Pd 2.00, 2 Rh 2.05
O11 0.8161 0.5009 0.6848  1 Pd 2.00, 2 Rh 2.05
O12 0.8687 0.6848 0.1839  1 Pd 2.00, 2 Rh 2.05

Computed properties:
DOS at the Fermi energy	17.10	states/eV/cell
E_form (uncorrected)	-624	meV/atom



# Nd5PtRh2

Nd5PtRh2 after structural relaxation (PBE-GGA, the Alexandria database).

a = 8.8951 Å, b = 8.8951 Å, c = 8.8951 Å
α = 128.75°, β = 128.75°, γ = 75.41°
Closest atoms and distances in Å follow each position.
Element x y z (fractional)
Nd1 0.0000 0.0000 0.0000  4 Rh 3.01
Nd2 0.0288 0.5288 0.8404  3 Rh 2.94-3.07, 2 Pt 3.24
Nd3 0.1885 0.0288 0.5000  3 Rh 2.94-3.07, 2 Pt 3.24
Nd4 0.3115 0.8115 0.8404  3 Rh 2.94-3.07, 2 Pt 3.24
Nd5 0.4712 0.3115 0.5000  3 Rh 2.94-3.07, 2 Pt 3.24
Nd6 0.5000 0.5000 0.0000  4 Rh 3.01
Nd7 0.5288 0.6885 0.5000  3 Rh 2.94-3.07, 2 Pt 3.24
Nd8 0.6885 0.1885 0.1596  3 Rh 2.94-3.07, 2 Pt 3.24
Nd9 0.8115 0.9712 0.5000  3 Rh 2.94-3.07, 2 Pt 3.24
Nd10 0.9712 0.4712 0.1596  3 Rh 2.94-3.07, 2 Pt 3.24
Pt1 0.2500 0.2500 0.0000  10 Nd 3.24-3.52
Pt2 0.7500 0.7500 0.0000  10 Nd 3.24-3.52
Rh1 0.1314 0.3686 0.5000  1 Rh 2.86, 8 Nd 2.94-3.07
Rh2 0.3686 0.8686 0.2372  1 Rh 2.86, 8 Nd 2.94-3.07
Rh3 0.6314 0.1314 0.7628  1 Rh 2.86, 8 Nd 2.94-3.07
Rh4 0.8686 0.6314 0.5000  1 Rh 2.86, 8 Nd 2.94-3.07

Computed properties:
DFT formation energy	-0.667	eV/atom
DOS at the Fermi energy	16.78	states/eV/cell



# Ir2PtS

Ir2PtS after structural relaxation (PBE-GGA, the Alexandria database).

a = 5.1125 Å, b = 5.1125 Å, c = 12.1343 Å
α = 90.00°, β = 90.00°, γ = 90.00°
Closest atoms and distances in Å follow each position.
Element x y z (fractional)
Ir1 0.1979 0.2500 0.1250  2 S 2.23
Ir2 0.2500 0.6979 0.3750  2 S 2.23
Ir3 0.2500 0.8021 0.8750  2 S 2.23
Ir4 0.3021 0.2500 0.6250  2 S 2.23
Ir5 0.6979 0.7500 0.6250  2 S 2.23
Ir6 0.7500 0.1979 0.8750  2 S 2.23
Ir7 0.7500 0.3021 0.3750  2 S 2.23
Ir8 0.8021 0.7500 0.1250  2 S 2.23
Pt1 0.0000 0.0000 0.5000  4 Ir 2.51
Pt2 0.0000 0.5000 0.7500  4 Ir 2.51
Pt3 0.5000 0.0000 0.2500  4 Ir 2.51
Pt4 0.5000 0.5000 0.0000  4 Ir 2.51
S1 0.0000 0.0000 0.0000  4 Ir 2.23
S2 0.0000 0.5000 0.2500  4 Ir 2.23
S3 0.5000 0.0000 0.7500  4 Ir 2.23
S4 0.5000 0.5000 0.5000  4 Ir 2.23

Computed properties:
DOS at the Fermi energy	7.63	states/eV/cell
E_form (uncorrected)	543	meV/atom



# Si3W

Si3W after structural relaxation (PBE-GGA, the Alexandria database).

a = 6.0994 Å, b = 6.0994 Å, c = 6.0994 Å
α = 90.00°, β = 90.00°, γ = 90.00°
Closest atoms and distances in Å follow each position.
Element x y z (fractional)
Si1 0.0000 0.0000 0.0000  8 Si 2.64
Si2 0.0000 0.5000 0.5000  8 Si 2.64
Si3 0.2500 0.2500 0.2500  4 W 2.64, 4 Si 2.64
Si4 0.2500 0.2500 0.7500  4 W 2.64, 4 Si 2.64
Si5 0.2500 0.7500 0.2500  4 W 2.64, 4 Si 2.64
Si6 0.2500 0.7500 0.7500  4 W 2.64, 4 Si 2.64
Si7 0.5000 0.0000 0.5000  8 Si 2.64
Si8 0.5000 0.5000 0.0000  8 Si 2.64
Si9 0.7500 0.2500 0.2500  4 W 2.64, 4 Si 2.64
Si10 0.7500 0.2500 0.7500  4 W 2.64, 4 Si 2.64
Si11 0.7500 0.7500 0.2500  4 W 2.64, 4 Si 2.64
Si12 0.7500 0.7500 0.7500  4 Si 2.64, 4 W 2.64
W1 0.0000 0.0000 0.5000  8 Si 2.64
W2 0.0000 0.5000 0.0000  8 Si 2.64
W3 0.5000 0.0000 0.0000  8 Si 2.64
W4 0.5000 0.5000 0.5000  8 Si 2.64

Computed properties:
ΔE to the lowest computed polymorph	2.03	eV per formula unit
DOS at the Fermi energy	8.54	states/eV/cell
E_form (uncorrected)	502	meV/atom



# Ti2AlTc2

Ti2AlTc2 after structural relaxation (PBE-GGA, the Alexandria database).

a = 6.9991 Å, b = 6.9991 Å, c = 3.2639 Å
α = 90.00°, β = 90.00°, γ = 90.00°
Closest atoms and distances in Å follow each position.
Element x y z (fractional)
Ti1 0.1544 0.3456 0.0000  6 Tc 2.54-2.68
Ti2 0.3456 0.8456 0.0000  6 Tc 2.54-2.68
Ti3 0.6544 0.1544 0.0000  6 Tc 2.54-2.68
Ti4 0.8456 0.6544 0.0000  6 Tc 2.54-2.68
Al1 0.0000 0.0000 0.5000  4 Tc 2.67
Al2 0.5000 0.5000 0.5000  4 Tc 2.67
Tc1 0.1490 0.6490 0.5000  6 Ti 2.54-2.68, 2 Al 2.67
Tc2 0.3510 0.1490 0.5000  6 Ti 2.54-2.68, 2 Al 2.67
Tc3 0.6490 0.8510 0.5000  6 Ti 2.54-2.68, 2 Al 2.67
Tc4 0.8510 0.3510 0.5000  6 Ti 2.54-2.68, 2 Al 2.67

Computed properties:
ΔE to the lowest computed polymorph	0.00	eV per formula unit
DFT formation energy	-0.182	eV/atom
DOS at the Fermi energy	6.96	states/eV/cell



# CaHo2Au3

CaHo2Au3 after structural relaxation (PBE-GGA, the Alexandria database).

a = 3.5874 Å, b = 3.5874 Å, c = 10.9396 Å
α = 90.00°, β = 90.00°, γ = 90.00°
Closest atoms and distances in Å follow each position.
Element x y z (fractional)
Ca1 0.0000 0.0000 0.0000  8 Au 3.23, 4 Ca 3.59
Ho1 0.0000 0.0000 0.3340  8 Au 3.02-3.12
Ho2 0.0000 0.0000 0.6660  8 Au 3.02-3.12
Au1 0.5000 0.5000 0.1835  4 Ho 3.02, 4 Ca 3.23
Au2 0.5000 0.5000 0.5000  8 Ho 3.12, 2 Au 3.46
Au3 0.5000 0.5000 0.8165  4 Ho 3.02, 4 Ca 3.23

Computed properties:
ΔE to the lowest computed polymorph	0.00	eV per formula unit
DFT formation energy	-0.854	eV/atom
DOS at the Fermi energy	3.44	states/eV/cell



# Ir5Se4

Ir5Se4 after structural relaxation (PBE-GGA, the Alexandria database).

a = 7.7324 Å, b = 7.7324 Å, c = 5.6591 Å
α = 90.00°, β = 90.00°, γ = 120.00°
Closest atoms and distances in Å follow each position.
Element x y z (fractional)
Ir1 0.0000 0.3420 0.2500  1 Se 2.39
Ir2 0.0000 0.6580 0.7500  1 Se 2.39
Ir3 0.3333 0.6667 0.0000  8 Ir 2.83-2.91, 6 Se 2.89
Ir4 0.3333 0.6667 0.5000  8 Ir 2.83-2.91, 6 Se 2.89
Ir5 0.3420 0.0000 0.2500  1 Se 2.39
Ir6 0.3420 0.3420 0.7500  1 Se 2.39
Ir7 0.6580 0.0000 0.7500  1 Se 2.39
Ir8 0.6580 0.6580 0.2500  1 Se 2.39
Ir9 0.6667 0.3333 0.0000  8 Ir 2.83-2.91, 6 Se 2.89
Ir10 0.6667 0.3333 0.5000  8 Ir 2.83-2.91, 6 Se 2.89
Se1 0.0000 0.0000 0.0000  8 Se 2.83-3.05, 6 Ir 3.00
Se2 0.0000 0.0000 0.5000  8 Se 2.83-3.05, 6 Ir 3.00
Se3 0.0000 0.3494 0.7500  1 Ir 2.39
Se4 0.0000 0.6506 0.2500  1 Ir 2.39
Se5 0.3494 0.0000 0.7500  1 Ir 2.39
Se6 0.3494 0.3494 0.2500  1 Ir 2.39
Se7 0.6506 0.0000 0.2500  1 Ir 2.39
Se8 0.6506 0.6506 0.7500  1 Ir 2.39

Computed properties:
DOS at the Fermi energy	13.08	states/eV/cell
E_form (uncorrected)	615	meV/atom



# Tm2Ge3Os

Tm2Ge3Os after structural relaxation (PBE-GGA, the Alexandria database).

a = 10.1997 Å, b = 4.3915 Å, c = 6.9053 Å
α = 90.00°, β = 130.02°, γ = 90.00°
Closest atoms and distances in Å follow each position.
Element x y z (fractional)
Tm1 0.0000 0.0000 0.0000  9 Ge 2.98-3.24, 3 Os 3.23-3.28
Tm2 0.1115 0.0000 0.6090  3 Os 2.89-3.13, 6 Ge 2.98-3.14
Tm3 0.5000 0.5000 0.0000  9 Ge 2.98-3.24, 3 Os 3.23-3.28
Tm4 0.6115 0.5000 0.6090  3 Os 2.89-3.13, 6 Ge 2.98-3.14
Ge1 0.1757 0.5000 0.9534  1 Os 2.44, 2 Ge 2.72
Ge2 0.2346 0.5000 0.4081  2 Os 2.47
Ge3 0.3760 0.0000 0.1977  1 Os 2.56, 2 Ge 2.72
Ge4 0.6757 0.0000 0.9534  1 Os 2.44, 2 Ge 2.72
Ge5 0.7346 0.0000 0.4081  2 Os 2.47
Ge6 0.8760 0.5000 0.1977  1 Os 2.56, 2 Ge 2.72
Os1 0.3765 0.0000 0.5692  4 Ge 2.44-2.56
Os2 0.8765 0.5000 0.5692  4 Ge 2.44-2.56

Computed properties:
ΔE to the lowest computed polymorph	0.00	eV per formula unit
DFT formation energy	-0.544	eV/atom
DOS at the Fermi energy	6.00	states/eV/cell



# Tm2FeCl

Tm2FeCl after structural relaxation (PBE-GGA, the Alexandria database).

a = 3.2450 Å, b = 3.2450 Å, c = 29.4849 Å
α = 90.00°, β = 90.00°, γ = 120.00°
Closest atoms and distances in Å follow each position.
Element x y z (fractional)
Tm1 0.0000 0.0000 0.0901  1 Fe 2.66, 3 Cl 2.93
Tm2 0.0000 0.0000 0.9099  1 Fe 2.66, 3 Cl 2.93
Tm3 0.3333 0.6667 0.5766  1 Fe 2.66, 3 Cl 2.93
Tm4 0.3333 0.6667 0.7567  1 Fe 2.66, 3 Cl 2.93
Tm5 0.6667 0.3333 0.2433  1 Fe 2.66, 3 Cl 2.93
Tm6 0.6667 0.3333 0.4234  1 Fe 2.66, 3 Cl 2.93
Fe1 0.0000 0.0000 0.0000  2 Tm 2.66
Fe2 0.3333 0.6667 0.6667  2 Tm 2.66
Fe3 0.6667 0.3333 0.3333  2 Tm 2.66
Cl1 0.0000 0.0000 0.5000  6 Tm 2.93, 6 Cl 3.25
Cl2 0.3333 0.6667 0.1667  6 Tm 2.93, 6 Cl 3.25
Cl3 0.6667 0.3333 0.8333  6 Tm 2.93, 6 Cl 3.25

Computed properties:
DOS at the Fermi energy	9.18	states/eV/cell
E_form (uncorrected)	-27	meV/atom



Copy entry 9 word for word.
# Ir5Se4

Ir5Se4 after structural relaxation (PBE-GGA, the Alexandria database).

a = 7.7324 Å, b = 7.7324 Å, c = 5.6591 Å
α = 90.00°, β = 90.00°, γ = 120.00°
Closest atoms and distances in Å follow each position.
Element x y z (fractional)
Ir1 0.0000 0.3420 0.2500  1 Se 2.39
Ir2 0.0000 0.6580 0.7500  1 Se 2.39
Ir3 0.3333 0.6667 0.0000  8 Ir 2.83-2.91, 6 Se 2.89
Ir4 0.3333 0.6667 0.5000  8 Ir 2.83-2.91, 6 Se 2.89
Ir5 0.3420 0.0000 0.2500  1 Se 2.39
Ir6 0.3420 0.3420 0.7500  1 Se 2.39
Ir7 0.6580 0.0000 0.7500  1 Se 2.39
Ir8 0.6580 0.6580 0.2500  1 Se 2.39
Ir9 0.6667 0.3333 0.0000  8 Ir 2.83-2.91, 6 Se 2.89
Ir10 0.6667 0.3333 0.5000  8 Ir 2.83-2.91, 6 Se 2.89
Se1 0.0000 0.0000 0.0000  8 Se 2.83-3.05, 6 Ir 3.00
Se2 0.0000 0.0000 0.5000  8 Se 2.83-3.05, 6 Ir 3.00
Se3 0.0000 0.3494 0.7500  1 Ir 2.39
Se4 0.0000 0.6506 0.2500  1 Ir 2.39
Se5 0.3494 0.0000 0.7500  1 Ir 2.39
Se6 0.3494 0.3494 0.2500  1 Ir 2.39
Se7 0.6506 0.0000 0.2500  1 Ir 2.39
Se8 0.6506 0.6506 0.7500  1 Ir 2.39

Computed properties:
DOS at the Fermi energy	13.08	states/eV/cell
E_form (uncorrected)	615	meV/atom



- DOS at the Fermi energy of number 3 (RbPd3Rh4O12)?
  17.10 states/eV/cell